[1]
A plane-wave DFT calculation with PBE-GGA was carried out for BaFe2Co after structural relaxation.

a = 4.0938 Å, b = 4.0938 Å, c = 17.2035 Å
α = 90.00°, β = 90.00°, γ = 120.00°
Space group R3m (No. 160, hexagonal axes)
Asymmetric unit:
Ba (0.0000, 0.0000, 0.0000) x3
Fe (0.0000, 0.0000, 0.1853) x3
Fe (0.0000, 0.0000, 0.4960) x3
Co (0.0000, 0.0000, 0.8176) x3

Calculated values
- calculated formation energy (meV per atom) = 341
- mass density (g/cm3) = 6.1
- ΔE to the lowest computed polymorph (meV per atom) = 13
- magnetization (Bohr magnetons per cell) = 14.72



[2]
A plane-wave DFT calculation with PBE-GGA was carried out for CaAgS2Cl after structural relaxation.

a = 4.861 Å, b = 4.861 Å, c = 5.021 Å
α = 90.00°, β = 90.00°, γ = 90.00°
Space group P4/mmm (No. 123)
Asymmetric unit:
Ca (0.000, 0.000, 0.000) x1
Ag (0.500, 0.500, 0.500) x1
S (0.000, 0.500, 0.500) x2
Cl (0.500, 0.500, 0.000) x1

Calculated values
- mass density (g/cm3) = 3.5
- ΔE to the lowest computed polymorph (meV per atom) = 0
- magnetization (Bohr magnetons per cell) = 0.00